[1]
The following is a DFT calculation (PBE) of a relaxed structure of Mg3Pb.

Output
density	4.60	g cm⁻³
crystal system	hexagonal
calculated total energy	-8.39	eV per cell

abc: 3.3776 3.3776 10.2381
angles: 90.00 90.00 120.00
Element x y z (fractional)
Pb  0.6667  0.3333  0.7500
Mg  0.0000  0.0000  0.0066
Mg  0.0000  0.0000  0.4934
Mg  0.6667  0.3333  0.2500



[2]
The following is a DFT calculation (PBE) of a relaxed structure of MgPb.

Output
density	7.19	g cm⁻³
crystal system	orthorhombic
calculated total energy	-21.38	eV per cell

abc: 6.9725 4.9462 6.2003
angles: 90.00 90.00 90.00
Element x y z (fractional)
Pb  0.1524  0.2500  0.1350
Pb  0.3476  0.7500  0.6350
Pb  0.6524  0.2500  0.3650
Pb  0.8476  0.7500  0.8650
Mg  0.9448  0.7500  0.3524
Mg  0.5552  0.2500  0.8524
Mg  0.0552  0.2500  0.6476
Mg  0.4448  0.7500  0.1476



[3]
The following is a DFT calculation (PBE) of a relaxed structure of Mg3Pb.

Output
density	4.71	g cm⁻³
crystal system	orthorhombic
calculated total energy	-8.55	eV per cell

abc: 6.1301 6.1301 6.1301
angles: 147.02 127.20 63.67
Element x y z (fractional)
Mg  0.0924  0.7517  0.3407
Mg  0.4926  0.5000  0.9926
Mg  0.5890  0.2483  0.3407
Pb  0.9927  0.0000  0.9927



[4]
The following is a DFT calculation (PBE) of a relaxed structure of MgPb.

Output
density	6.81	g cm⁻³
crystal system	tetragonal
calculated total energy	-20.30	eV per cell

abc: 6.0511 6.0511 6.1680
angles: 90.00 90.00 90.00
Element x y z (fractional)
Mg  0.1988  0.8012  0.0000
Mg  0.8012  0.1988  0.0000
Mg  0.3012  0.3012  0.5000
Mg  0.6988  0.6988  0.5000
Pb  0.7985  0.2015  0.5000
Pb  0.2015  0.7985  0.5000
Pb  0.2985  0.2985  0.0000
Pb  0.7015  0.7015  0.0000



[5]
The following is a DFT calculation (PBE) of a relaxed structure of MgPb5.

Output
density	8.99	g cm⁻³
crystal system	cubic
calculated total energy	-19.10	eV per cell
distance to the lowest polymorph of the same formula	0.1871	eV/atom

abc: 6.5174 6.5174 6.5174
angles: 60.00 60.00 60.00
Element x y z (fractional)
Pb  0.8766  0.3745  0.3745
Pb  0.3745  0.8766  0.3745
Pb  0.7500  0.7500  0.7500
Pb  0.3745  0.3745  0.3745
Pb  0.3745  0.3745  0.8766
Mg  0.0000  0.0000  0.0000



[6]
The following is a DFT calculation (PBE) of a relaxed structure of Mg3Pb.

Output
density	4.70	g cm⁻³
crystal system	orthorhombic
calculated total energy	-8.55	eV per cell

abc: 5.1773 3.2969 5.7953
angles: 90.00 90.00 90.00
Element x y z (fractional)
Mg  0.0000  0.0000  0.0090
Mg  0.0000  0.5000  0.4843
Mg  0.5000  0.5000  0.1671
Pb  0.5000  0.0000  0.6729



[7]
The following is a DFT calculation (PBE) of a relaxed structure of Mg4Pb.

Output
density	3.84	g cm⁻³
crystal system	monoclinic
calculated total energy	-19.24	eV per cell
distance to the lowest polymorph of the same formula	0.1227	eV/atom

abc: 5.2119 7.9566 6.3471
angles: 89.47 90.00 90.00
Element x y z (fractional)
Mg  0.7479  0.7131  0.2470
Mg  0.7543  0.3739  0.5037
Mg  0.7457  0.3739  0.0037
Mg  0.2479  0.2869  0.2530
Mg  0.7521  0.7131  0.7470
Mg  0.2521  0.2869  0.7530
Mg  0.2457  0.6261  0.4963
Mg  0.2543  0.6261  0.9963
Pb  0.5000  0.0000  0.5000
Pb  0.0000  0.0000  0.0000



[8]
The following is a DFT calculation (PBE) of a relaxed structure of MgPb2.

Output
density	7.59	g cm⁻³
crystal system	cubic
calculated total energy	-16.74	eV per cell
distance to the lowest polymorph of the same formula	0.2473	eV/atom

abc: 6.4763 6.4763 6.4763
angles: 60.00 60.00 60.00
Element x y z (fractional)
Pb  0.1250  0.6250  0.1250
Pb  0.1250  0.1250  0.6250
Pb  0.1250  0.1250  0.1250
Pb  0.6250  0.1250  0.1250
Mg  0.5000  0.5000  0.5000
Mg  0.7500  0.7500  0.7500